# 1
Below is a relaxed PaMn2Se6 crystal, with properties calculated at the PBE level.

Unit cell a=3.746 b=8.834 c=7.871 alpha=111.01 beta=103.77 gamma=90.00
Last column: magnetic moment on the atom in μB.
Sites, in units of the cell vectors:
1 Se 0.693 0.163 0.386  -0.04
2 Se 0.340 0.478 0.679  -0.17
3 Pa 0.500 0.000 0.000  -0.13
4 Mn 0.830 0.660 0.660  2.75
5 Mn 0.170 0.340 0.340  2.75
6 Se 0.660 0.522 0.321  -0.17
7 Se 0.307 0.837 0.614  -0.04
8 Se 0.990 0.229 0.981  -0.01
9 Se 0.010 0.771 0.019  -0.01

M_tot ... 4.968 μB per formula unit
E above lowest polymorph ... 0 meV per atom


# 2
Below is a relaxed TaTe2As crystal, with properties calculated at the PBE level.

Unit cell a=9.142 b=9.142 c=9.142 alpha=22.15 beta=22.15 gamma=22.15
Sites, in units of the cell vectors:
1 Te 0.011 0.011 0.011
2 Te 0.489 0.489 0.489
3 Ta 0.750 0.750 0.750
4 As 0.250 0.250 0.250

Raw total energy ... -22.35 eV/f.u.
M_tot ... 0.000 μB per formula unit


# 3
Below is a relaxed SrGa2W crystal, with properties calculated at the PBE level.

Unit cell a=5.079 b=5.079 c=9.363 alpha=74.26 beta=74.26 gamma=90.00
Sites, in units of the cell vectors:
1 Ga 0.942 0.625 0.250
2 W 0.000 0.000 0.000
3 W 0.750 0.250 0.500
4 Ga 0.875 0.058 0.750
5 Sr 0.250 0.750 0.500
6 Ga 0.808 0.125 0.250
7 Sr 0.500 0.500 0.000
8 Ga 0.375 0.192 0.750

M_tot ... 0.000 μB per formula unit
E above lowest polymorph ... 64 meV per atom